An optimized crystal structure of K2Na2Mo3WO12, computed with PBEsol.

The structure in POSCAR format:
```
K2Na2Mo3WO12
1.0
7.767 0.000 0.000
0.000 7.780 0.000
0.000 0.000 7.780
K Na Mo W O
4 4 6 2 24
direct
0.000 0.252 0.252
0.000 0.748 0.252
0.000 0.252 0.748
0.000 0.748 0.748
0.500 0.256 0.256
0.500 0.744 0.256
0.500 0.256 0.744
0.500 0.744 0.744
0.748 0.500 0.000
0.252 0.500 0.000
0.748 0.000 0.500
0.252 0.000 0.500
0.748 0.500 0.500
0.252 0.500 0.500
0.748 0.000 0.000
0.252 0.000 0.000
0.746 0.000 0.248
0.254 0.000 0.248
0.745 0.500 0.249
0.255 0.500 0.249
0.746 0.000 0.752
0.254 0.000 0.752
0.745 0.500 0.751
0.255 0.500 0.751
0.746 0.248 0.000
0.254 0.248 0.000
0.746 0.752 0.000
0.254 0.752 0.000
0.745 0.249 0.500
0.255 0.249 0.500
0.745 0.751 0.500
0.255 0.751 0.500
0.000 0.000 0.000
0.500 0.000 0.000
0.000 0.500 0.000
0.500 0.500 0.000
0.000 0.000 0.500
0.500 0.000 0.500
0.000 0.500 0.500
0.500 0.500 0.500
```

As for the calculated volume: 11.8 A^3/atom. The magnetization is 0.00 μB/cell. As for the density: 5.57 g/cm3. The electronic total energy is -7.9739 eV/atom.